# Y2GaOs2

A crystal of Y2GaOs2 relaxed with PBEsol (meta-GGA SCAN, Alexandria via LeMat-Bulk).

Its density of states at the Fermi level is 8.3 states/eV/cell. The calculation puts the formation energy at 7.3 kJ/mol of atoms. As for the total energy: -43.083 eV/atom.

It has space group I4/mmm (No. 139), with a = 5.446 Å, b = 5.446 Å, c = 7.432 Å, α = 90.00°, β = 90.00° and γ = 90.00°. The distinct sites, in fractional coordinates, are Y at (0.000, 0.500, 0.250), Ga at (0.000, 0.000, 0.000) and Os at (0.000, 0.000, 0.335).

=====

# Zr6Ga16Os7

A crystal of Zr6Ga16Os7 relaxed with PBEsol (meta-GGA SCAN, Alexandria via LeMat-Bulk).

Its density of states at the Fermi level is 53.2 states/eV/cell. The calculation puts the formation energy at -46.4 kJ/mol of atoms. As for the total energy: -33.201 eV/atom.

It has space group Fm-3m (No. 225), with a = 12.298 Å, b = 12.298 Å, c = 12.298 Å, α = 90.00°, β = 90.00° and γ = 90.00°. The distinct sites, in fractional coordinates, are Zr at (0.000, 0.000, 0.218), Ga at (0.123, 0.123, 0.377), Ga at (0.155, 0.155, 0.155), Os at (0.000, 0.000, 0.500) and Os at (0.000, 0.250, 0.250).

=====

# GaP

A crystal of GaP relaxed with PBEsol (meta-GGA SCAN, Alexandria via LeMat-Bulk).

Its density of states at the Fermi level is 0.0 states/eV/cell. The calculation puts the formation energy at -44.9 kJ/mol of atoms. As for the total energy: -13.838 eV/atom.

It has space group P6_3mc (No. 186), with a = 3.8287 Å, b = 3.8287 Å, c = 6.3124 Å, α = 90.00°, β = 90.00° and γ = 120.00°. The distinct sites, in fractional coordinates, are Ga at (0.3333, 0.6667, 0.0000) and P at (0.3333, 0.6667, 0.6261).

=====

# GaP

A crystal of GaP relaxed with PBEsol (meta-GGA SCAN, Alexandria via LeMat-Bulk).

Its density of states at the Fermi level is 0.0 states/eV/cell. The calculation puts the formation energy at -46.0 kJ/mol of atoms. As for the total energy: -13.849 eV/atom.

It has space group F-43m (No. 216), with a = 5.432 Å, b = 5.432 Å, c = 5.432 Å, α = 90.00°, β = 90.00° and γ = 90.00°. The distinct sites, in fractional coordinates, are Ga at (0.000, 0.000, 0.000) and P at (0.250, 0.250, 0.750).

=====

# GaP3Pb

A crystal of GaP3Pb relaxed with PBEsol (meta-GGA SCAN, Alexandria via LeMat-Bulk).

Its density of states at the Fermi level is 5.7 states/eV/cell. The calculation puts the formation energy at 139.8 kJ/mol of atoms. As for the total energy: -23.216 eV/atom.

It has space group Pm-3m (No. 221), with a = 5.147 Å, b = 5.147 Å, c = 5.147 Å, α = 90.00°, β = 90.00° and γ = 90.00°. The distinct sites, in fractional coordinates, are Ga at (0.000, 0.000, 0.000), P at (0.000, 0.500, 0.500) and Pb at (0.500, 0.500, 0.500).

=====

# GaPPdS2

A crystal of GaPPdS2 relaxed with PBEsol (meta-GGA SCAN, Alexandria via LeMat-Bulk).

Its density of states at the Fermi level is 5.2 states/eV/cell. The energy relative to the elements, uncorrected comes out at 0.56 eV/atom. As for the total energy: -15.198 eV/atom.

It has space group P4/mmm (No. 123), with a = 4.867 Å, b = 4.867 Å, c = 4.368 Å, α = 90.00°, β = 90.00° and γ = 90.00°. The distinct sites, in fractional coordinates, are Ga at (0.000, 0.000, 0.000), P at (0.500, 0.500, 0.000), Pd at (0.500, 0.500, 0.500) and S at (0.000, 0.500, 0.500).

=====

# GaPPtS2

A crystal of GaPPtS2 relaxed with PBEsol (meta-GGA SCAN, Alexandria via LeMat-Bulk).

Its density of states at the Fermi level is 5.3 states/eV/cell. The energy relative to the elements, uncorrected comes out at 1.09 eV/atom. As for the total energy: -22.146 eV/atom.

It has space group P4/mmm (No. 123), with a = 4.496 Å, b = 4.496 Å, c = 4.571 Å, α = 90.00°, β = 90.00° and γ = 90.00°. The distinct sites, in fractional coordinates, are Ga at (0.000, 0.000, 0.000), P at (0.000, 0.000, 0.500), Pt at (0.500, 0.500, 0.500) and S at (0.000, 0.500, 0.000).

=====

# RbGaPS2

A crystal of RbGaPS2 relaxed with PBEsol (meta-GGA SCAN, Alexandria via LeMat-Bulk).

Its density of states at the Fermi level is 4.1 states/eV/cell. The energy relative to the elements, uncorrected comes out at -0.01 eV/atom. As for the total energy: -13.363 eV/atom.

It has space group P4/mmm (No. 123), with a = 4.945 Å, b = 4.945 Å, c = 4.660 Å, α = 90.00°, β = 90.00° and γ = 90.00°. The distinct sites, in fractional coordinates, are Rb at (0.000, 0.000, 0.000), Ga at (0.500, 0.500, 0.500), P at (0.500, 0.500, 0.000) and S at (0.000, 0.500, 0.500).

=====

# RbGaTeP2

A crystal of RbGaTeP2 relaxed with PBEsol (meta-GGA SCAN, Alexandria via LeMat-Bulk).

Its density of states at the Fermi level is 3.1 states/eV/cell. The energy relative to the elements, uncorrected comes out at 0.58 eV/atom. As for the total energy: -18.446 eV/atom.

It has space group P4/mmm (No. 123), with a = 4.764 Å, b = 4.764 Å, c = 5.800 Å, α = 90.00°, β = 90.00° and γ = 90.00°. The distinct sites, in fractional coordinates, are Rb at (0.000, 0.000, 0.000), Ga at (0.000, 0.000, 0.500), Te at (0.500, 0.500, 0.000) and P at (0.000, 0.500, 0.500).

=====

# GaP2Rh2

A crystal of GaP2Rh2 relaxed with PBEsol (meta-GGA SCAN, Alexandria via LeMat-Bulk).

Its density of states at the Fermi level is 7.5 states/eV/cell. The calculation puts the formation energy at -15.6 kJ/mol of atoms. As for the total energy: -21.099 eV/atom.

It has space group I4/mmm (No. 139), with a = 3.674 Å, b = 3.674 Å, c = 11.409 Å, α = 90.00°, β = 90.00° and γ = 90.00°. The distinct sites, in fractional coordinates, are Ga at (0.000, 0.000, 0.000), P at (0.000, 0.500, 0.250) and Rh at (0.000, 0.000, 0.375).

=====

# GaSn2PRu

A crystal of GaSn2PRu relaxed with PBEsol (meta-GGA SCAN, Alexandria via LeMat-Bulk).

Its density of states at the Fermi level is 3.2 states/eV/cell. The calculation puts the formation energy at 111.2 kJ/mol of atoms. As for the total energy: -25.530 eV/atom.

It has space group P4/mmm (No. 123), with a = 5.074 Å, b = 5.074 Å, c = 4.544 Å, α = 90.00°, β = 90.00° and γ = 90.00°. The distinct sites, in fractional coordinates, are Ga at (0.000, 0.000, 0.000), Sn at (0.000, 0.500, 0.000), P at (0.500, 0.500, 0.500) and Ru at (0.000, 0.000, 0.500).

=====

# GaPS2

A crystal of GaPS2 relaxed with PBEsol (meta-GGA SCAN, Alexandria via LeMat-Bulk).

Its density of states at the Fermi level is 2.8 states/eV/cell. The energy relative to the elements, uncorrected comes out at 0.18 eV/atom. As for the total energy: -11.322 eV/atom.

It has space group I-42d (No. 122), with a = 6.480 Å, b = 6.480 Å, c = 6.678 Å, α = 90.00°, β = 90.00° and γ = 90.00°. The distinct sites, in fractional coordinates, are Ga at (0.000, 0.000, 0.000), P at (0.000, 0.000, 0.500) and S at (0.249, 0.250, 0.125).